Below is a relaxed NiHgSe2Br crystal, with properties calculated at the GGA-PBE level.

Cell: 4.795 4.795 4.972 Å, 90.00 90.00 90.00°
Fractional positions:
Hg  0.500  0.500  0.500
Ni  0.000  0.000  0.000
Br  0.000  0.000  0.500
Se  0.500  0.000  0.000
Se  0.000  0.500  0.000

calculated total energy = -2.7198 eV per atom
E above lowest polymorph = 0.0 kJ/mol of atoms
SG = P4/mmm